Here is Ac2Al4Zn3Cu after structural relaxation from Alexandria. Energies are from PBE.

M_tot (μB/f.u.): 0.00
DFT total energy (eV/atom): -3.480
ΔE_f (eV per atom): -0.3691

a = 4.434 Å, b = 4.434 Å, c = 10.753 Å
α = 90.00°, β = 90.00°, γ = 90.00°
Fractional coordinates of all 10 atoms:
Ac1 0.500 0.000 0.256
Ac2 0.000 0.500 0.744
Al1 0.500 0.500 0.000
Al2 0.000 0.000 0.000
Al3 0.500 0.000 0.619
Al4 0.000 0.500 0.381
Zn1 0.000 0.000 0.500
Zn2 0.500 0.000 0.863
Zn3 0.000 0.500 0.137
Cu1 0.500 0.500 0.500



Here is Ac2Al4ZnCu3 after structural relaxation from Alexandria. Energies are from PBE.

M_tot (μB/f.u.): 0.00
DFT total energy (eV/atom): -4.020
ΔE_f (eV per atom): -0.3448

a = 4.429 Å, b = 4.429 Å, c = 10.393 Å
α = 90.00°, β = 90.00°, γ = 90.00°
Fractional coordinates of all 10 atoms:
Ac1 0.500 0.000 0.254
Ac2 0.000 0.500 0.746
Al1 0.500 0.500 0.000
Al2 0.000 0.000 0.000
Al3 0.500 0.000 0.628
Al4 0.000 0.500 0.372
Zn1 0.500 0.500 0.500
Cu1 0.000 0.000 0.500
Cu2 0.500 0.000 0.874
Cu3 0.000 0.500 0.126



Here is Ac2AlZn3Cu4 after structural relaxation from Alexandria. Energies are from PBE.

M_tot (μB/f.u.): 0.00
DFT total energy (eV/atom): -3.450
ΔE_f (eV per atom): -0.2335

a = 4.338 Å, b = 4.338 Å, c = 10.494 Å
α = 90.00°, β = 90.00°, γ = 90.00°
Fractional coordinates of all 10 atoms:
Ac1 0.500 0.000 0.247
Ac2 0.000 0.500 0.753
Al1 0.500 0.500 0.500
Zn1 0.000 0.000 0.500
Zn2 0.500 0.000 0.878
Zn3 0.000 0.500 0.122
Cu1 0.500 0.500 0.000
Cu2 0.000 0.000 0.000
Cu3 0.500 0.000 0.629
Cu4 0.000 0.500 0.371



Here is Ac3Al2ZnCu6 after structural relaxation from Alexandria. Energies are from PBE.

M_tot (μB/f.u.): 0.00
DFT total energy (eV/atom): -3.905
ΔE_f (eV per atom): -0.0995

a = 6.170 Å, b = 6.170 Å, c = 8.174 Å
α = 90.00°, β = 90.00°, γ = 120.00°
Fractional coordinates of all 12 atoms:
Ac1 0.333 0.667 0.731
Ac2 0.667 0.333 0.269
Ac3 0.000 0.000 0.000
Al1 0.667 0.333 0.870
Al2 0.333 0.667 0.130
Zn1 0.000 0.000 0.500
Cu1 0.601 0.800 0.380
Cu2 0.200 0.399 0.380
Cu3 0.200 0.800 0.380
Cu4 0.800 0.601 0.620
Cu5 0.399 0.200 0.620
Cu6 0.800 0.200 0.620



Here is AcAlZn6Cu after structural relaxation from Alexandria. Energies are from PBE.

M_tot (μB/f.u.): 0.00
DFT total energy (eV/atom): -2.234
ΔE_f (eV per atom): -0.0569

a = 7.134 Å, b = 6.809 Å, c = 8.647 Å
α = 113.19°, β = 114.37°, γ = 90.00°
Fractional coordinates of all 18 atoms:
Ac1 0.705 0.455 0.409
Ac2 0.295 0.545 0.591
Al1 0.500 0.000 0.500
Al2 0.000 0.000 0.500
Zn1 0.623 0.873 0.245
Zn2 0.046 0.296 0.092
Zn3 0.903 0.046 0.186
Zn4 0.283 0.641 0.186
Zn5 0.283 0.046 0.186
Zn6 0.903 0.641 0.186
Zn7 0.377 0.127 0.755
Zn8 0.954 0.704 0.908
Zn9 0.097 0.954 0.814
Zn10 0.717 0.359 0.814
Zn11 0.717 0.954 0.814
Zn12 0.097 0.359 0.814
Cu1 0.500 0.500 0.000
Cu2 0.500 0.000 0.000



Here is Ac2AlZn3Cu12 after structural relaxation from Alexandria. Energies are from PBE.

M_tot (μB/f.u.): 0.00
DFT total energy (eV/atom): -3.406
ΔE_f (eV per atom): 0.2018

a = 7.832 Å, b = 7.832 Å, c = 7.832 Å
α = 62.36°, β = 62.36°, γ = 62.36°
Fractional coordinates of all 18 atoms:
Ac1 0.603 0.603 0.603
Ac2 0.397 0.397 0.397
Al1 0.000 0.000 0.000
Zn1 0.500 0.000 0.000
Zn2 0.000 0.500 0.000
Zn3 0.000 0.000 0.500
Cu1 0.348 0.348 0.028
Cu2 0.874 0.874 0.352
Cu3 0.352 0.874 0.874
Cu4 0.028 0.348 0.348
Cu5 0.874 0.352 0.874
Cu6 0.348 0.028 0.348
Cu7 0.652 0.652 0.972
Cu8 0.126 0.126 0.648
Cu9 0.648 0.126 0.126
Cu10 0.972 0.652 0.652
Cu11 0.126 0.648 0.126
Cu12 0.652 0.972 0.652